Pr4SiBr5 (PBE, optimized geometry); total DFT energy (no corrections) = -4.815 eV per atom
1.0
9.478 -2.111 0.000
9.478 2.111 0.000
-2.060 0.000 8.499
Br Pr Si
5 4 1
Direct
0.830 0.830 0.159 Br
0.166 0.166 0.332 Br
0.500 0.500 0.500 Br
0.834 0.834 0.668 Br
0.170 0.170 0.841 Br
0.652 0.652 0.083 Pr
0.000 0.000 0.225 Pr
0.000 0.000 0.775 Pr
0.348 0.348 0.917 Pr
0.500 0.500 0.000 Si